Record 1
An optimized crystal structure of LiHf2CdRh, computed with PBE.

DFT formation energy (eV per atom): 0.463
Final energy (eV per atom): -5.55

a b c (Å): 4.771 4.097 4.771
angles (deg): 90.00 90.00 90.00
Atoms (fractional coordinates):
Li 0.000 0.000 0.000
Hf 0.500 0.000 0.000
Rh 0.000 0.500 0.000
Hf 0.000 0.000 0.500
Cd 0.500 0.500 0.500


Record 2
An optimized crystal structure of CaNb3Si, computed with PBE.

E above lowest polymorph (meV/atom): 0.0
Uncorrected formation energy (eV per atom): 0.572
Final energy (eV per atom): -6.95

a b c (Å): 4.832 4.832 4.832
angles (deg): 90.00 90.00 90.00
Atoms (fractional coordinates):
Nb 0.000 0.500 0.000
Ca 0.500 0.500 0.500
Nb 0.500 0.000 0.000
Si 0.000 0.000 0.000
Nb 0.000 0.000 0.500


Record 3
An optimized crystal structure of Sc2CdSb, computed with PBE.

E above lowest polymorph (meV/atom): 273.2
Uncorrected formation energy (eV per atom): -0.243
Final energy (eV per atom): -4.67

a b c (Å): 7.823 7.823 6.430
angles (deg): 52.53 52.53 90.00
Last column: magnetic moment on the atom in μB.
Atoms (fractional coordinates):
Cd 0.500 0.500 0.000  0.00
Sc 0.375 0.370 0.750  0.05
Sb 0.750 0.250 0.500  0.00
Sc 0.630 0.125 0.250  0.04
Cd 0.250 0.750 0.500  0.00
Sc 0.875 0.880 0.750  0.05
Sb 0.000 0.000 0.000  0.00
Sc 0.120 0.625 0.250  0.04


Record 4
An optimized crystal structure of LaPrDy2Er5, computed with PBE.

DFT formation energy (eV per atom): 0.270
Final energy (eV per atom): -4.37

a b c (Å): 8.788 8.788 9.825
angles (deg): 116.57 116.57 90.00
Atoms (fractional coordinates):
Er 0.928 0.428 0.263
Er 0.835 0.928 0.263
Er 0.165 0.072 0.737
Er 0.500 0.500 0.000
Dy 0.884 0.616 0.000
La 0.250 0.250 0.500
Pr 0.750 0.250 0.500
Dy 0.384 0.884 0.000
La 0.750 0.750 0.500
Pr 0.250 0.750 0.500
Er 0.428 0.335 0.263
Er 0.665 0.165 0.737
Dy 0.616 0.116 0.000
Er 0.572 0.665 0.737
Er 0.000 0.000 0.000
Er 0.335 0.835 0.263
Er 0.072 0.572 0.737
Dy 0.116 0.384 0.000


Record 5
An optimized crystal structure of Te2PdC2, computed with PBE.

E above lowest polymorph (meV/atom): 0.0
Uncorrected formation energy (eV per atom): 1.161
Final energy (eV per atom): -4.82

a b c (Å): 5.682 5.682 4.904
angles (deg): 54.60 54.60 90.00
Atoms (fractional coordinates):
Pd 0.000 0.000 0.000
Te 0.750 0.250 0.500
Te 0.250 0.750 0.500
C 0.385 0.385 0.231
C 0.615 0.615 0.769


Record 6
An optimized crystal structure of Sm5Cd3, computed with PBE.

DFT formation energy (eV per atom): -0.223
Final energy (eV per atom): -3.52

a b c (Å): 3.757 3.757 16.649
angles (deg): 90.00 90.00 90.00
Last column: magnetic moment on the atom in μB.
Atoms (fractional coordinates):
Sm 0.500 0.500 0.382  0.08
Sm 0.000 0.000 0.000  0.18
Sm 0.000 0.000 0.766  0.08
Sm 0.500 0.500 0.618  0.08
Cd 0.000 0.000 0.500  -0.01
Sm 0.000 0.000 0.234  0.08
Cd 0.500 0.500 0.882  0.01
Cd 0.500 0.500 0.118  0.01


Please write out number 2 again, unchanged.
An optimized crystal structure of CaNb3Si, computed with PBE.

E above lowest polymorph (meV/atom): 0.0
Uncorrected formation energy (eV per atom): 0.572
Final energy (eV per atom): -6.95

a b c (Å): 4.832 4.832 4.832
angles (deg): 90.00 90.00 90.00
Atoms (fractional coordinates):
Nb 0.000 0.500 0.000
Ca 0.500 0.500 0.500
Nb 0.500 0.000 0.000
Si 0.000 0.000 0.000
Nb 0.000 0.000 0.500


The lowest final energy belongs to which entry?
CaNb3Si